[1]
## YSbRu3 (GGA-PBE)

Data for a geometry-optimized YSbRu3 structure.

The space group is Pm-3m (No. 221) and the conventional cell measures 4.8509, 4.8509 and 4.8509 Å, with angles of 90.00, 90.00 and 90.00 degrees. The distinct sites, in fractional coordinates, are Y at (0.0000, 0.0000, 0.0000), Sb at (0.5000, 0.5000, 0.5000) and Ru at (0.0000, 0.0000, 0.5000).

For the uncorrected formation energy, the calculation gives 1.7915 eV/atom. The final energy comes out at -5.891 eV/atom. The total magnetization comes out at 0.10 μB/atom.

[2]
## YSb4Ru (GGA-PBE)

Data for a geometry-optimized YSb4Ru structure.

The space group is F-43m (No. 216) and the conventional cell measures 8.6069, 8.6069 and 8.6069 Å, with angles of 90.00, 90.00 and 90.00 degrees. The distinct sites, in fractional coordinates, are Y at (0.0000, 0.0000, 0.0000), Sb at (0.1244, 0.1244, 0.3756) and Ru at (0.2500, 0.2500, 0.7500).

For the uncorrected formation energy, the calculation gives 0.4899 eV/atom. The final energy comes out at -4.882 eV/atom. The total magnetization comes out at 0.26 μB/atom.

[3]
## YSbRu3 (GGA-PBE)

Data for a geometry-optimized YSbRu3 structure.

The space group is Pm-3m (No. 221) and the conventional cell measures 4.8027, 4.8027 and 4.8027 Å, with angles of 90.00, 90.00 and 90.00 degrees. The distinct sites, in fractional coordinates, are Y at (0.0000, 0.0000, 0.0000), Sb at (0.5000, 0.5000, 0.5000) and Ru at (0.0000, 0.5000, 0.5000).

For the uncorrected formation energy, the calculation gives 0.7287 eV/atom. The final energy comes out at -6.954 eV/atom. The total magnetization comes out at 0.00 μB/atom.